# CaReN3 PBE optimized geometry
# - Energy relative to the elements, uncorrected: -230.6 meV per atom
# - Volume: 14.2 Å³/atom
# - Uncorrected energy: -8.116 eV/atom
data_CaReN3
_chemical_formula_sum 'Ca4 Re4 N12'
_symmetry_space_group_name_H-M 'C m c m'
_symmetry_Int_Tables_number 63
_symmetry_space_group_name_Hall '-C 2c 2'
_cell_length_a 4.068
_cell_length_b 12.151
_cell_length_c 5.757
_cell_angle_alpha 90.00
_cell_angle_beta 90.00
_cell_angle_gamma 90.00
loop_
_atom_site_label
_atom_site_fract_x
_atom_site_fract_y
_atom_site_fract_z
Ca1 0.000 0.124 0.250
Re1 0.000 0.399 0.250
N1 0.000 0.500 0.000
N2 0.158 0.211 0.750